The following is a DFT calculation (GGA-PBEsol) of a geometry-optimized Sc2NiOs structure.

## Properties
**ΔE to the lowest computed polymorph**: 456.6 meV/atom
**Fermi-level density of states**: 3.50 states/eV/cell
**Energy of formation**: -0.03 eV per atom

```
4
Lattice="-2.431 -0.742 1.811 -0.287 -2.721 -1.500 4.489 -3.095 4.756" Properties=species:S:1:pos:R:3 pbc="T T T"
Ni 2.436 -1.680 2.581
Os 1.784 -3.899 3.485
Sc 4.201 -2.897 4.451
Sc 0.084 -2.727 1.684
```